No. 1
# Na3Dy2TiSe6 (PBE, optimized geometry)
data_Na3Dy2TiSe6
_chemical_formula_sum 'Na6 Dy4 Ti2 Se12'
_space_group_name_H-M_alt 'C 1 2/m 1'
_space_group_IT_number 12
_cell_length_a 6.983
_cell_length_b 12.096
_cell_length_c 7.383
_cell_angle_alpha 90.00
_cell_angle_beta 108.41
_cell_angle_gamma 90.00
loop_
_space_group_symop_operation_xyz
'x,y,z'
'-x,-y,-z'
'-x,y,-z'
'x,-y,z'
'x+1/2,y+1/2,z'
'-x+1/2,-y+1/2,-z'
'-x+1/2,y+1/2,-z'
'x+1/2,-y+1/2,z'
loop_
_atom_site_label
_atom_site_fract_x
_atom_site_fract_y
_atom_site_fract_z
_atom_site_occupancy
Na1 0.000 0.000 0.000 1
Na2 0.000 0.330 0.000 1
Dy1 0.000 0.167 0.500 1
Ti1 0.000 0.500 0.500 1
Se1 0.232 0.343 0.724 1
Se2 0.238 0.500 0.278 1
# Calculated total energy, Ha/atom: -0.1834

***

No. 2
# NaDyTm4Se8 (PBE, optimized geometry)
data_NaDyTm4Se8
_chemical_formula_sum 'Na3 Dy3 Tm12 Se24'
_space_group_name_H-M_alt 'R 3 m'
_space_group_IT_number 160
_space_group_name_Hall 'R 3 -2"'
_cell_length_a 8.3618
_cell_length_b 8.3618
_cell_length_c 20.6085
_cell_angle_alpha 90.00
_cell_angle_beta 90.00
_cell_angle_gamma 120.00
loop_
_atom_site_label
_atom_site_fract_x
_atom_site_fract_y
_atom_site_fract_z
_atom_site_occupancy
Na1 0.0000 0.0000 0.0000 1
Dy1 0.0000 0.0000 0.6312 1
Tm1 0.0000 0.0000 0.2515 1
Tm2 0.1734 0.3468 0.4578 1
Se1 0.0000 0.0000 0.3843 1
Se2 0.0000 0.0000 0.8656 1
Se3 0.0251 0.5125 0.3806 1
Se4 0.1765 0.3531 0.2059 1
# Calculated total energy, Ha/atom: -0.2002

***

No. 3
# NaDy3Tm3Se8 (PBE, optimized geometry)
data_NaDy3Tm3Se8
_chemical_formula_sum 'Na3 Dy9 Tm9 Se24'
_space_group_name_H-M_alt 'R -3 m'
_space_group_IT_number 166
_space_group_name_Hall '-R 3 2"'
_cell_length_a 8.0716
_cell_length_b 8.0716
_cell_length_c 19.7887
_cell_angle_alpha 90.00
_cell_angle_beta 90.00
_cell_angle_gamma 120.00
loop_
_atom_site_label
_atom_site_fract_x
_atom_site_fract_y
_atom_site_fract_z
_atom_site_occupancy
Na1 0.0000 0.0000 0.0000 1
Dy1 0.0000 0.5000 0.5000 1
Tm1 0.0000 0.5000 0.0000 1
Se1 0.0000 0.0000 0.2515 1
Se2 0.0093 0.5047 0.2494 1
# Calculated total energy, Ha/atom: -0.2027

***

No. 4
# NaDy2TmSe4 (PBE, optimized geometry)
data_NaDy2TmSe4
_chemical_formula_sum 'Na1 Dy2 Tm1 Se4'
_space_group_name_H-M_alt 'P 1 2/m 1'
_space_group_IT_number 10
_cell_length_a 7.084
_cell_length_b 4.052
_cell_length_c 7.088
_cell_angle_alpha 90.00
_cell_angle_beta 108.95
_cell_angle_gamma 90.00
loop_
_space_group_symop_operation_xyz
'x,y,z'
'-x,-y,-z'
'-x,y,-z'
'x,-y,z'
loop_
_atom_site_label
_atom_site_fract_x
_atom_site_fract_y
_atom_site_fract_z
_atom_site_occupancy
Na1 0.000 0.000 0.000 1
Dy1 0.000 0.500 0.500 1
Dy2 0.500 0.000 0.500 1
Tm1 0.500 0.500 0.000 1
Se1 0.253 0.000 0.754 1
Se2 0.255 0.500 0.251 1
# Calculated total energy, Ha/atom: -0.1957

***

No. 5
# Na4DyTm3Se8 (PBE, optimized geometry)
data_Na4DyTm3Se8
_chemical_formula_sum 'Na12 Dy3 Tm9 Se24'
_space_group_name_H-M_alt 'R -3 m'
_space_group_IT_number 166
_space_group_name_Hall '-R 3 2"'
_cell_length_a 8.2162
_cell_length_b 8.2162
_cell_length_c 21.0087
_cell_angle_alpha 90.00
_cell_angle_beta 90.00
_cell_angle_gamma 120.00
loop_
_atom_site_label
_atom_site_fract_x
_atom_site_fract_y
_atom_site_fract_z
_atom_site_occupancy
Na1 0.0000 0.0000 0.0000 1
Na2 0.0000 0.5000 0.0000 1
Dy1 0.0000 0.0000 0.5000 1
Tm1 0.0000 0.5000 0.5000 1
Se1 0.0000 0.0000 0.2421 1
Se2 0.0027 0.5013 0.7574 1
# Calculated total energy, Ha/atom: -0.1801

***

No. 6
# Na3Dy2TmSe6 (PBE, optimized geometry)
data_Na3Dy2TmSe6
_chemical_formula_sum 'Na6 Dy4 Tm2 Se12'
_space_group_name_H-M_alt 'C 1 2/m 1'
_space_group_IT_number 12
_cell_length_a 7.151
_cell_length_b 12.387
_cell_length_c 7.400
_cell_angle_alpha 90.00
_cell_angle_beta 108.80
_cell_angle_gamma 90.00
loop_
_space_group_symop_operation_xyz
'x,y,z'
'-x,-y,-z'
'-x,y,-z'
'x,-y,z'
'x+1/2,y+1/2,z'
'-x+1/2,-y+1/2,-z'
'-x+1/2,y+1/2,-z'
'x+1/2,-y+1/2,z'
loop_
_atom_site_label
_atom_site_fract_x
_atom_site_fract_y
_atom_site_fract_z
_atom_site_occupancy
Na1 0.000 0.000 0.000 1
Na2 0.000 0.333 0.000 1
Dy1 0.000 0.167 0.500 1
Tm1 0.000 0.500 0.500 1
Se1 0.241 0.335 0.729 1
Se2 0.246 0.000 0.728 1
# Calculated total energy, Ha/atom: -0.1807

***

No. 7
# NaDy3Tm2Se6 (PBE, optimized geometry)
data_NaDy3Tm2Se6
_chemical_formula_sum 'Na2 Dy6 Tm4 Se12'
_space_group_name_H-M_alt 'C 1 2/m 1'
_space_group_IT_number 12
_cell_length_a 7.015
_cell_length_b 12.159
_cell_length_c 7.083
_cell_angle_alpha 90.00
_cell_angle_beta 109.37
_cell_angle_gamma 90.00
loop_
_space_group_symop_operation_xyz
'x,y,z'
'-x,-y,-z'
'-x,y,-z'
'x,-y,z'
'x+1/2,y+1/2,z'
'-x+1/2,-y+1/2,-z'
'-x+1/2,y+1/2,-z'
'x+1/2,-y+1/2,z'
loop_
_atom_site_label
_atom_site_fract_x
_atom_site_fract_y
_atom_site_fract_z
_atom_site_occupancy
Na1 0.000 0.000 0.000 1
Dy1 0.000 0.162 0.500 1
Dy2 0.000 0.500 0.500 1
Tm1 0.000 0.334 0.000 1
Se1 0.246 0.500 0.241 1
Se2 0.250 0.168 0.248 1
# Calculated total energy, Ha/atom: -0.2006

***

No. 8
# Na3Dy3TmSe8 (PBE, optimized geometry)
data_Na3Dy3TmSe8
_chemical_formula_sum 'Na9 Dy9 Tm3 Se24'
_space_group_name_H-M_alt 'R -3 m'
_space_group_IT_number 166
_space_group_name_Hall '-R 3 2"'
_cell_length_a 8.2129
_cell_length_b 8.2129
_cell_length_c 21.2032
_cell_angle_alpha 90.00
_cell_angle_beta 90.00
_cell_angle_gamma 120.00
loop_
_atom_site_label
_atom_site_fract_x
_atom_site_fract_y
_atom_site_fract_z
_atom_site_occupancy
Na1 0.0000 0.5000 0.0000 1
Dy1 0.0000 0.5000 0.5000 1
Tm1 0.0000 0.0000 0.5000 1
Se1 0.0000 0.0000 0.2436 1
Se2 0.0026 0.5013 0.2420 1
# Calculated total energy, Ha/atom: -0.1825